Material: Tb6DyY4
Method: DFT, PBE-GGA
State: optimized geometry

POSCAR file:
```
Tb6DyY4
1.0
-0.260 -5.449 3.679
3.580 -3.205 -4.495
5.519 6.702 4.433
Tb Y Dy
6 4 1
direct
0.142 0.142 0.656 Tb
0.514 0.514 0.656 Tb
0.486 0.858 0.344 Tb
0.000 0.500 0.000 Tb
0.858 0.486 0.344 Tb
0.500 0.000 0.000 Tb
0.312 0.312 0.264 Y
0.688 0.047 0.736 Y
0.047 0.688 0.736 Y
0.953 0.953 0.264 Y
0.500 0.500 0.000 Dy
```

Results
The value obtained for the formation energy is 0.31 eV/atom. Its total energy is -4.980 eV per atom. For the excess energy over the best structure of this formula in the dataset, the calculation gives 2.052 eV/f.u.

Material: Tb2DyY5
Method: DFT, PBE-GGA
State: optimized geometry

POSCAR file:
```
Tb2DyY5
1.0
6.380 -2.965 -0.081
-8.687 10.474 0.156
0.116 -0.088 12.723
Y Tb Dy
10 4 2
direct
0.810 0.463 0.616 Y
0.190 0.537 0.116 Y
0.857 0.919 0.750 Y
0.143 0.081 0.250 Y
0.754 0.002 0.001 Y
0.246 0.998 0.501 Y
0.190 0.537 0.384 Y
0.754 0.002 0.499 Y
0.246 0.998 0.999 Y
0.810 0.463 0.884 Y
0.304 0.459 0.883 Tb
0.696 0.541 0.383 Tb
0.304 0.459 0.617 Tb
0.696 0.541 0.117 Tb
0.648 0.083 0.250 Dy
0.352 0.917 0.750 Dy
```

Results
The value obtained for the formation energy is 0.10 eV/atom. Its total energy is -5.673 eV per atom. For the excess energy over the best structure of this formula in the dataset, the calculation gives 0.644 eV/f.u.

Material: Tb7Dy4Y
Method: DFT, PBE-GGA
State: optimized geometry

POSCAR file:
```
Tb7Dy4Y
1.0
5.891 0.000 0.000
2.946 11.157 -0.367
2.946 0.194 6.007
Tb Dy Y
7 4 1
direct
0.500 0.000 0.000 Tb
0.061 0.678 0.200 Tb
0.632 0.499 0.236 Tb
0.939 0.322 0.800 Tb
0.368 0.501 0.764 Tb
0.787 0.923 0.502 Tb
0.213 0.077 0.498 Tb
0.363 0.776 0.499 Dy
0.244 0.319 0.192 Dy
0.637 0.224 0.501 Dy
0.756 0.681 0.808 Dy
0.000 0.000 0.000 Y
```

Results
The value obtained for the formation energy is 0.28 eV/atom. Its total energy is -4.492 eV per atom. For the excess energy over the best structure of this formula in the dataset, the calculation gives 2.346 eV/f.u.

Material: Tb3Dy2Y4
Method: DFT, PBE-GGA
State: optimized geometry

POSCAR file:
```
Tb3Dy2Y4
1.0
-4.938 -3.609 0.188
1.617 -11.151 -0.408
-1.777 -5.997 9.381
Y Tb Dy
8 6 4
direct
0.424 0.574 0.851 Y
0.076 0.149 0.426 Y
0.576 0.426 0.149 Y
0.079 0.812 0.095 Y
0.921 0.188 0.905 Y
0.924 0.851 0.574 Y
0.579 0.095 0.812 Y
0.421 0.905 0.188 Y
0.250 0.265 0.069 Tb
0.250 0.595 0.405 Tb
0.750 0.735 0.931 Tb
0.750 0.069 0.265 Tb
0.250 0.931 0.735 Tb
0.750 0.405 0.595 Tb
0.418 0.238 0.522 Dy
0.918 0.522 0.238 Dy
0.082 0.478 0.762 Dy
0.582 0.762 0.478 Dy
```

Results
The value obtained for the formation energy is 0.10 eV/atom. Its total energy is -5.340 eV per atom. For the excess energy over the best structure of this formula in the dataset, the calculation gives 0.718 eV/f.u.